Here is crystalline BeCuOF2 at its relaxed geometry from the Alexandria database. Energies are from GGA-PBE.

The calculation puts the raw total energy at -4.91 eV per atom. As for the size of the total moment: 0.00 μB per cell. For the uncorrected formation energy, the calculation gives -8.05 eV/f.u. The value obtained for the energy above the most stable polymorph in this dataset is 0 meV per atom.

The space group is P4/mmm (No. 123) and the conventional cell measures 3.1738, 3.1738 and 4.4596 Å, with angles of 90.00, 90.00 and 90.00 degrees. The inequivalent atoms are Be at (0.0000, 0.0000, 0.0000), Cu at (0.5000, 0.5000, 0.5000), O at (0.0000, 0.0000, 0.5000) and F at (0.0000, 0.5000, 0.0000).

=====

Here is crystalline SiTe2SeN at its relaxed geometry from the Alexandria database. Energies are from GGA-PBE.

The calculation puts the raw total energy at -4.34 eV per atom. As for the size of the total moment: 0.00 μB per cell. For the uncorrected formation energy, the calculation gives 1.81 eV/f.u. The value obtained for the energy above the most stable polymorph in this dataset is 0 meV per atom.

The space group is P4/mmm (No. 123) and the conventional cell measures 5.7529, 5.7529 and 3.2496 Å, with angles of 90.00, 90.00 and 90.00 degrees. The inequivalent atoms are Si at (0.0000, 0.0000, 0.0000), Te at (0.0000, 0.5000, 0.0000), Se at (0.5000, 0.5000, 0.5000) and N at (0.0000, 0.0000, 0.5000).

=====

Here is crystalline MnHgH at its relaxed geometry from the Alexandria database. Energies are from GGA-PBE.

The calculation puts the raw total energy at -3.86 eV per atom. As for the size of the total moment: 1.84 μB per cell. The value obtained for the energy above the most stable polymorph in this dataset is 242 meV per atom.

The space group is P-1 (No. 2) and the conventional cell measures 2.8804, 5.3141 and 5.8705 Å, with angles of 69.47, 75.99 and 74.42 degrees. The inequivalent atoms are Mn at (0.0656, 0.0459, 0.3226), Hg at (0.1782, 0.3697, 0.7769) and H at (0.4836, 0.7795, 0.7527).

=====

Look up the size of the total moment of the third one. 1.84 μB per cell

=====

Look up the raw total energy of the second one. -4.34 eV per atom

=====

Copy entry 1 word for word.
Here is crystalline BeCuOF2 at its relaxed geometry from the Alexandria database. Energies are from GGA-PBE.

The calculation puts the raw total energy at -4.91 eV per atom. As for the size of the total moment: 0.00 μB per cell. For the uncorrected formation energy, the calculation gives -8.05 eV/f.u. The value obtained for the energy above the most stable polymorph in this dataset is 0 meV per atom.

The space group is P4/mmm (No. 123) and the conventional cell measures 3.1738, 3.1738 and 4.4596 Å, with angles of 90.00, 90.00 and 90.00 degrees. The inequivalent atoms are Be at (0.0000, 0.0000, 0.0000), Cu at (0.5000, 0.5000, 0.5000), O at (0.0000, 0.0000, 0.5000) and F at (0.0000, 0.5000, 0.0000).

=====

Please write out number 2 again, unchanged.
Here is crystalline SiTe2SeN at its relaxed geometry from the Alexandria database. Energies are from GGA-PBE.

The calculation puts the raw total energy at -4.34 eV per atom. As for the size of the total moment: 0.00 μB per cell. For the uncorrected formation energy, the calculation gives 1.81 eV/f.u. The value obtained for the energy above the most stable polymorph in this dataset is 0 meV per atom.

The space group is P4/mmm (No. 123) and the conventional cell measures 5.7529, 5.7529 and 3.2496 Å, with angles of 90.00, 90.00 and 90.00 degrees. The inequivalent atoms are Si at (0.0000, 0.0000, 0.0000), Te at (0.0000, 0.5000, 0.0000), Se at (0.5000, 0.5000, 0.5000) and N at (0.0000, 0.0000, 0.5000).